A plane-wave DFT calculation with GGA-PBE was carried out for La2ScW after structural relaxation.

a b c (Å): 6.4569 10.8807 3.1570
angles (deg): 90.00 117.43 90.00
Space group C2/m (No. 12)
Inequivalent atoms, fractional coordinates:
La (0.2500, 0.2500, 0.0000)
Sc (0.0000, 0.0000, 0.5000)
W (0.0000, 0.5000, 0.5000)

Calculated values
The calculation puts the total energy at -6.659 eV per atom. For the energy of formation from the pure elements, the calculation gives 60 kJ per mole of atoms.